Record 1
DFT (PBE) results for TlCo2Ir after structural relaxation.

```
TlCo2Ir
1.0
3.905 0.000 0.000
0.000 3.905 0.000
1.953 1.953 8.971
Tl Co Ir
2 4 2
Direct
0.750 0.250 0.500
0.000 0.000 0.000
0.212 0.625 0.250
0.875 0.788 0.750
0.375 0.462 0.750
0.538 0.125 0.250
0.250 0.750 0.500
0.500 0.500 0.000
```


Record 2
DFT (PBE) results for Tl2CoIrW after structural relaxation.

```
Tl2CoIrW
1.0
-1.380 -1.804 -4.250
-0.279 -4.121 1.840
-4.608 0.823 1.147
W Co Ir Tl
1 1 1 2
Direct
0.500 0.500 0.500
0.000 0.000 0.000
0.000 0.500 0.000
0.000 0.000 0.500
0.500 0.000 0.000
```


Record 3
DFT (PBE) results for Zr2TlCoIr after structural relaxation.

```
Zr2TlCoIr
1.0
-3.081 2.770 -2.826
-0.302 -3.735 -3.332
-4.000 -1.903 2.496
Zr Tl Ir Co
2 1 1 1
Direct
0.000 0.500 0.000
0.500 0.000 0.000
0.000 0.000 0.500
0.000 0.000 0.000
0.500 0.500 0.500
```


Record 4
DFT (PBE) results for Tm6Co2Ir after structural relaxation.

```
Tm6Co2Ir
1.0
7.542 0.149 -2.755
-3.901 6.600 -2.392
-0.087 -0.149 8.029
Tm Ir Co
12 2 4
Direct
0.813 0.745 0.558
0.087 0.264 0.822
0.312 0.639 0.327
0.558 0.736 0.822
0.813 0.255 0.068
0.688 0.015 0.327
0.442 0.264 0.178
0.312 0.985 0.673
0.688 0.361 0.673
0.187 0.255 0.442
0.913 0.736 0.178
0.187 0.745 0.932
0.000 0.500 0.500
0.000 0.000 0.000
0.500 0.615 0.115
0.661 0.000 0.661
0.339 0.000 0.339
0.500 0.385 0.885
```


Record-wise DFT formation energy values, in eV/atom: 0.76; 1.61; 0.81; -0.40
Record-wise uncorrected energy values, in eV/cell: -44.83; -25.58; -31.38; -106.94